(1)
Ba6As2Br2N, relaxed, DFT GGA-PBE; density of states at the Fermi level = 0.97 states/eV/f.u.; VASP energy = -4.1768 eV/atom; symmetry = C2/m, No. 12; magnetic moment = 0.091 μB per atom; calculated volume = 39.52 Å³ per atom
1.0
-3.3929 5.7306 4.3762
1.0463 -7.2569 3.1216
7.9326 2.7129 -0.0149
Ba As Br N
6 2 2 1
direct
0.6232 0.9251 0.2903
0.3768 0.0749 0.7097
0.9251 0.6232 0.2903
0.7752 0.7752 0.7007
0.0749 0.3768 0.7097
0.2248 0.2248 0.2993
0.3320 0.6680 0.5000
0.6680 0.3320 0.5000
0.1709 0.8291 0.0000
0.8291 0.1709 0.0000
0.0000 0.0000 0.5000

***

(2)
BaNaAsBr2, relaxed, DFT GGA-PBE; offset from the most stable computed form = 119.0 meV/atom; density of states at the Fermi level = 3.59 states/eV/f.u.; symmetry = P4/mmm, No. 123; magnetic moment = 0.400 μB per atom; calculated volume = 52.13 Å³ per atom
1.0
6.3015 0.0000 0.0000
0.0000 6.3015 0.0000
0.0000 0.0000 6.5643
Ba Br Na As
1 2 1 1
direct
0.0000 0.0000 0.0000
0.5000 0.0000 0.0000
0.0000 0.5000 0.0000
0.5000 0.5000 0.5000
0.0000 0.0000 0.5000

***

(3)
BaNaAsBr2, relaxed, DFT GGA-PBE; offset from the most stable computed form = 334.9 meV/atom; density of states at the Fermi level = 2.78 states/eV/f.u.; symmetry = P4/mmm, No. 123; magnetic moment = 0.400 μB per atom; calculated volume = 37.20 Å³ per atom
1.0
5.2357 0.0000 0.0000
0.0000 6.7859 0.0000
0.0000 0.0000 5.2357
Br Ba As Na
2 1 1 1
direct
0.5000 0.0000 0.0000
0.0000 0.0000 0.5000
0.0000 0.5000 0.0000
0.5000 0.5000 0.5000
0.0000 0.0000 0.0000

***

(4)
BaNaAsBr2, relaxed, DFT GGA-PBE; offset from the most stable computed form = 0.0 meV/atom; density of states at the Fermi level = 2.42 states/eV/f.u.; symmetry = P4/mmm, No. 123; magnetic moment = 0.401 μB per atom; calculated volume = 33.06 Å³ per atom
1.0
-3.2099 -0.7147 -4.2966
-1.2239 -4.9742 1.7417
-4.3622 2.0926 2.9108
Ba Br Na As
1 2 1 1
direct
0.5000 0.5000 0.5000
0.0000 0.5000 0.0000
0.5000 0.0000 0.0000
0.0000 0.0000 0.0000
0.0000 0.0000 0.5000

***

(5)
BaNbAsBr2, relaxed, DFT GGA-PBE; offset from the most stable computed form = 0.0 meV/atom; density of states at the Fermi level = 3.43 states/eV/f.u.; symmetry = P4/mmm, No. 123; magnetic moment = 0.257 μB per atom; calculated volume = 29.27 Å³ per atom
1.0
5.3423 0.0000 0.0000
0.0000 5.3423 0.0000
0.0000 0.0000 5.1276
As Br Ba Nb
1 2 1 1
direct
0.0000 0.0000 0.5000
0.0000 0.5000 0.0000
0.5000 0.0000 0.0000
0.5000 0.5000 0.5000
0.0000 0.0000 0.0000

***

(6)
BaNbAsBr2, relaxed, DFT GGA-PBE; offset from the most stable computed form = 1291.1 meV/atom; density of states at the Fermi level = 6.60 states/eV/f.u.; symmetry = P4/mmm, No. 123; magnetic moment = 0.398 μB per atom; calculated volume = 47.78 Å³ per atom
1.0
6.0568 0.0000 0.0000
0.0000 6.0568 0.0000
0.0000 0.0000 6.5124
Ba Br Nb As
1 2 1 1
direct
0.0000 0.0000 0.0000
0.5000 0.0000 0.0000
0.0000 0.5000 0.0000
0.5000 0.5000 0.5000
0.0000 0.0000 0.5000

***

(7)
BaNi2AsBr, relaxed, DFT GGA-PBE; density of states at the Fermi level = 2.54 states/eV/f.u.; VASP energy = -4.3793 eV/atom; symmetry = P4/mmm, No. 123; magnetic moment = 0.302 μB per atom; calculated volume = 27.43 Å³ per atom
1.0
4.5202 0.0000 0.0000
0.0000 6.7124 0.0000
0.0000 0.0000 4.5202
Ba Br Ni As
1 1 2 1
direct
0.0000 0.5000 0.0000
0.5000 0.5000 0.5000
0.5000 0.0000 0.0000
0.0000 0.0000 0.5000
0.0000 0.0000 0.0000

***

(8)
BaNiAs2Br, relaxed, DFT GGA-PBE; density of states at the Fermi level = 2.73 states/eV/f.u.; VASP energy = -4.2937 eV/atom; symmetry = P4/mmm, No. 123; magnetic moment = 0.235 μB per atom; calculated volume = 27.16 Å³ per atom
1.0
-3.1478 -1.9902 -2.6544
0.2439 -3.7880 2.5509
-4.6968 2.2915 3.8518
As Ni Br Ba
2 1 1 1
direct
0.0000 0.5000 0.0000
0.5000 0.0000 0.0000
0.0000 0.0000 0.0000
0.0000 0.0000 0.5000
0.5000 0.5000 0.5000

***

(9)
Ba6AsBr3O2, relaxed, DFT GGA-PBE; density of states at the Fermi level = 4.52 states/eV/f.u.; VASP energy = -4.4378 eV/atom; symmetry = C2/m, No. 12; magnetic moment = 0.000 μB per atom; calculated volume = 31.80 Å³ per atom
1.0
-2.0719 -6.4546 -3.0908
4.2646 0.0089 6.1091
-7.2518 2.0909 3.5258
Br Ba As O
3 6 1 2
direct
0.1571 0.8429 0.5000
0.8429 0.1571 0.5000
0.5000 0.5000 0.5000
0.4314 0.0669 0.1996
0.5686 0.9331 0.8004
0.2986 0.2986 0.8031
0.9331 0.5686 0.8004
0.7014 0.7014 0.1969
0.0669 0.4314 0.1996
0.0000 0.0000 0.0000
0.6678 0.3322 0.0000
0.3322 0.6678 0.0000

***

(10)
Ba8As3Br4O, relaxed, DFT GGA-PBE; density of states at the Fermi level = 4.09 states/eV/f.u.; VASP energy = -4.2312 eV/atom; symmetry = C2/m, No. 12; magnetic moment = 0.000 μB per atom; calculated volume = 36.91 Å³ per atom
1.0
9.2385 0.0000 0.0000
0.0000 9.5884 0.1936
-4.6192 -4.6482 6.5729
Ba As Br O
8 3 4 1
direct
0.7793 0.2973 0.0190
0.7603 0.7027 0.9810
0.2381 0.7185 0.4762
0.2207 0.7027 0.9810
0.7619 0.2815 0.5238
0.2397 0.2973 0.0190
0.7413 0.7248 0.4826
0.2587 0.2752 0.5174
0.0000 0.5000 0.5000
0.5000 0.5000 0.0000
0.5000 0.5000 0.5000
0.0000 0.0000 0.5000
0.5000 0.0000 0.5000
0.0000 0.0000 0.0000
0.5000 0.0000 0.0000
0.0000 0.5000 0.0000

***

(11)
BaAs2BrO, relaxed, DFT GGA-PBE; offset from the most stable computed form = 0.0 meV/atom; density of states at the Fermi level = 3.32 states/eV/f.u.; symmetry = P4/mmm, No. 123; magnetic moment = 0.001 μB per atom; calculated volume = 25.18 Å³ per atom
1.0
4.3716 0.0000 0.0000
0.0000 4.3716 0.0000
0.0000 0.0000 6.5877
Br O As Ba
1 1 2 1
direct
0.0000 0.0000 0.5000
0.0000 0.0000 0.0000
0.5000 0.0000 0.0000
0.0000 0.5000 0.0000
0.5000 0.5000 0.5000

***

(12)
Ba6As2Br3O, relaxed, DFT GGA-PBE; density of states at the Fermi level = 3.09 states/eV/f.u.; VASP energy = -4.2812 eV/atom; symmetry = C2/m, No. 12; magnetic moment = 0.000 μB per atom; calculated volume = 35.65 Å³ per atom
1.0
7.8860 0.0013 -0.0034
-3.9399 6.8312 -0.0034
-1.3196 -2.2849 7.9422
Ba O Br As
6 1 3 2
direct
0.2360 0.2360 0.7901
0.6235 0.9302 0.7912
0.7640 0.7640 0.2099
0.0698 0.3765 0.2088
0.3765 0.0698 0.2088
0.9302 0.6235 0.7912
0.0000 0.0000 0.0000
0.5000 0.5000 0.5000
0.8266 0.1734 0.5000
0.1734 0.8266 0.5000
0.6661 0.3339 0.0000
0.3339 0.6661 0.0000